Entry 1:
# Sr5Cd5P6O24F2 PBE optimized geometry
data_Sr5Cd5P6O24F2
_symmetry_space_group_name_H-M 'P 1 m 1'
_symmetry_Int_Tables_number 6
_symmetry_space_group_name_Hall 'P -2y'
_cell_length_a 9.6550
_cell_length_b 7.0407
_cell_length_c 9.7243
_cell_angle_alpha 90.00
_cell_angle_beta 119.48
_cell_angle_gamma 90.00
loop_
_atom_site_label
_atom_site_fract_x
_atom_site_fract_y
_atom_site_fract_z
Sr1 0.0000 0.0000 0.0000
Sr2 0.0141 0.5000 0.7565
Sr3 0.5100 0.5000 0.5209
Sr4 0.7461 0.0000 0.5181
Sr5 0.7689 0.5000 0.0048
Cd1 0.0852 0.2519 0.4209
Cd2 0.4297 0.2480 0.0957
Cd3 0.4852 0.0000 0.7396
P1 0.1337 0.0000 0.7358
P2 0.1636 0.5000 0.1370
P3 0.3498 0.0000 0.3798
P4 0.3881 0.5000 0.7819
P5 0.7302 0.5000 0.3555
P6 0.7868 0.0000 0.1698
O1 0.0233 0.1743 0.6931
O2 0.0969 0.3240 0.0292
O3 0.1113 0.5000 0.2660
O4 0.1637 0.0000 0.3015
O5 0.2144 0.0000 0.6285
O6 0.2499 0.5000 0.6065
O7 0.2619 0.0000 0.9144
O8 0.3179 0.5000 0.8977
O9 0.3498 0.5000 0.2153
O10 0.4034 0.0000 0.2522
O11 0.4159 0.1757 0.4883
O12 0.4966 0.3225 0.8159
O13 0.6043 0.0000 0.1126
O14 0.6306 0.5000 0.1702
O15 0.6842 0.3231 0.4180
O16 0.8359 0.1778 0.1110
O17 0.8874 0.0000 0.3560
O18 0.9135 0.5000 0.4144
F1 0.7322 0.0000 0.7660
F2 0.7667 0.5000 0.7563
# E	-6.421	eV per atom
# E_form (uncorrected)	-2416	meV/atom
# V	13.70	Å³/atom

---

Entry 2:
# CdPb2O2F2 PBE optimized geometry
data_CdPb2O2F2
_symmetry_space_group_name_H-M 'I 4/m m m'
_symmetry_Int_Tables_number 139
_symmetry_space_group_name_Hall '-I 4 2'
_cell_length_a 4.3772
_cell_length_b 4.3772
_cell_length_c 13.0211
_cell_angle_alpha 90.00
_cell_angle_beta 90.00
_cell_angle_gamma 90.00
loop_
_atom_site_label
_atom_site_fract_x
_atom_site_fract_y
_atom_site_fract_z
Cd1 0.0000 0.0000 0.0000
Pb1 0.0000 0.0000 0.3761
O1 0.0000 0.5000 0.0000
F1 0.0000 0.0000 0.1891
# E	-4.600	eV per atom
# E_form (uncorrected)	-1459	meV/atom
# V	17.82	Å³/atom

---

Entry 3:
# CdPbOF2 PBE optimized geometry
data_CdPbOF2
_symmetry_space_group_name_H-M 'P 4/m m m'
_symmetry_Int_Tables_number 123
_symmetry_space_group_name_Hall '-P 4 2'
_cell_length_a 4.6022
_cell_length_b 4.6022
_cell_length_c 4.3324
_cell_angle_alpha 90.00
_cell_angle_beta 90.00
_cell_angle_gamma 90.00
loop_
_atom_site_label
_atom_site_fract_x
_atom_site_fract_y
_atom_site_fract_z
Cd1 0.0000 0.0000 0.0000
Pb1 0.5000 0.5000 0.5000
O1 0.5000 0.5000 0.0000
F1 0.0000 0.5000 0.5000
# E	-3.861	eV per atom
# E_form (uncorrected)	-1196	meV/atom
# V	18.35	Å³/atom

---

Entry 4:
# CdPbO2F PBE optimized geometry
data_CdPbO2F
_symmetry_space_group_name_H-M 'P 4/m m m'
_symmetry_Int_Tables_number 123
_symmetry_space_group_name_Hall '-P 4 2'
_cell_length_a 4.3402
_cell_length_b 4.3402
_cell_length_c 4.4654
_cell_angle_alpha 90.00
_cell_angle_beta 90.00
_cell_angle_gamma 90.00
loop_
_atom_site_label
_atom_site_fract_x
_atom_site_fract_y
_atom_site_fract_z
Cd1 0.0000 0.0000 0.0000
Pb1 0.5000 0.5000 0.5000
O1 0.0000 0.5000 0.5000
F1 0.5000 0.5000 0.0000
# E	-4.106	eV per atom
# E_form (uncorrected)	-824	meV/atom
# V	16.82	Å³/atom